A plane-wave DFT calculation with PBE was carried out for a relaxed structure of PrPuGe.

Output
Excess energy over the best structure of this formula in the dataset, eV/atom: 0.222
SG: Cmcm

Cell: 5.2592 6.2836 4.7326 Å, 90.00 90.00 114.74°
Closest atoms and distances in Å follow each position.
Fractional coordinates of all 6 atoms:
1 Pr 0.7655 0.5310 0.2500  3 Ge 3.06-3.41, 2 Pu 3.25
2 Ge 0.0647 0.1294 0.2500  2 Ge 2.79, 4 Pu 2.98, 2 Pr 3.06
3 Pu 0.5000 0.0000 0.5000  2 Pu 2.37
4 Ge 0.9353 0.8706 0.7500  2 Ge 2.79, 4 Pu 2.98, 2 Pr 3.06
5 Pr 0.2345 0.4690 0.7500  3 Ge 3.06-3.41, 2 Pu 3.25
6 Pu 0.5000 0.0000 0.0000  2 Pu 2.37



A plane-wave DFT calculation with PBE was carried out for a relaxed structure of Pr5PuGe4.

Output
Electronic total energy, eV per cell: -62.00
SG: C2/m

Cell: 5.1882 7.0829 10.9569 Å, 130.48 103.69 90.00°
Closest atoms and distances in Å follow each position.
Fractional coordinates of all 10 atoms:
1 Pr 0.1649 0.8370 0.3298  5 Ge 3.08-3.27, 1 Pr 3.44
2 Pr 0.8363 0.6799 0.6727  5 Ge 3.04-3.21
3 Ge 0.6769 0.1039 0.3538  7 Pr 3.10-3.31, 1 Pu 3.32
4 Pr 0.8351 0.1630 0.6702  5 Ge 3.08-3.27, 1 Pr 3.44
5 Pu 0.5000 0.0000 0.0000  6 Ge 3.13-3.32
6 Ge 0.9912 0.7368 0.9824  6 Pr 3.04-3.27, 2 Pu 3.13
7 Pr 0.1637 0.3201 0.3273  5 Ge 3.04-3.21
8 Ge 0.3231 0.8961 0.6462  7 Pr 3.10-3.31, 1 Pu 3.32
9 Ge 0.0088 0.2632 0.0176  6 Pr 3.04-3.27, 2 Pu 3.13
10 Pr 0.5000 0.5000 0.0000  6 Ge 3.16-3.31



A plane-wave DFT calculation with PBE was carried out for a relaxed structure of Pr2PuGe3Rh4.

Output
Electronic total energy, eV per cell: -75.17
SG: P-4m2

Cell: 4.2582 4.2582 10.9506 Å, 90.00 90.00 90.00°
Closest atoms and distances in Å follow each position.
Fractional coordinates of all 10 atoms:
1 Pr 0.0000 0.5000 0.7680  6 Ge 3.24-3.63, 8 Rh 3.27-3.31, 2 Pu 3.63
2 Ge 0.0000 0.0000 0.5000  4 Rh 2.70, 4 Pu 3.01
3 Ge 0.0000 0.5000 0.1217  5 Rh 2.48-2.51
4 Rh 0.0000 0.0000 0.0000  4 Ge 2.51
5 Rh 0.5000 0.5000 0.0000  4 Ge 2.51
6 Pr 0.5000 0.0000 0.2320  6 Ge 3.24-3.63, 8 Rh 3.27-3.31, 2 Pu 3.63
7 Rh 0.0000 0.5000 0.3483  3 Ge 2.48-2.70, 2 Pu 2.70
8 Pu 0.5000 0.5000 0.5000  4 Rh 2.70, 4 Ge 3.01
9 Ge 0.5000 0.0000 0.8783  5 Rh 2.48-2.51
10 Rh 0.5000 0.0000 0.6517  3 Ge 2.48-2.70, 2 Pu 2.70



A plane-wave DFT calculation with PBE was carried out for a relaxed structure of PrPuGeRh.

Output
Electronic total energy, eV per cell: -32.70
SG: F-43m

Cell: 5.0681 5.0681 5.0681 Å, 60.00 60.00 60.00°
Closest atoms and distances in Å follow each position.
Fractional coordinates of all 4 atoms:
1 Rh 0.7500 0.7500 0.7500  4 Pr 3.10, 4 Pu 3.10
2 Pu 0.5000 0.5000 0.5000  4 Ge 3.10, 4 Rh 3.10
3 Pr 0.0000 0.0000 0.0000  4 Rh 3.10, 4 Ge 3.10
4 Ge 0.2500 0.2500 0.2500  4 Pr 3.10, 4 Pu 3.10